(1)
Material: Dy3ErSe4
Method: DFT, PBE
State: relaxed

Cell: 7.076 8.041 7.067 Å, 90.00 109.21 90.00°
Space group P2/c (No. 13)
One atom of each set of equivalent atoms:
Dy (0.000, 0.124, 0.250)
Dy (0.000, 0.374, 0.750)
Dy (0.500, 0.124, 0.750)
Er (0.500, 0.374, 0.250)
Se (0.251, 0.126, 0.001)
Se (0.253, 0.376, 0.500)


(2)
Material: Dy3Er5Se8
Method: DFT, PBE
State: relaxed

Cell: 8.1019 8.1019 19.8612 Å, 90.00 90.00 120.00°
Space group R-3m (No. 166, hexagonal axes)
One atom of each set of equivalent atoms:
Dy (0.0000, 0.5000, 0.0000)
Er (0.0000, 0.0000, 0.0000)
Er (0.0000, 0.0000, 0.5000)
Er (0.0000, 0.5000, 0.5000)
Se (0.0000, 0.0000, 0.2487)
Se (0.0017, 0.5009, 0.7509)


(3)
Material: DyEr2Se
Method: DFT, PBE
State: relaxed

Cell: 3.7514 3.7514 28.0598 Å, 90.00 90.00 120.00°
Space group R3m (No. 160, hexagonal axes)
One atom of each set of equivalent atoms:
Dy (0.0000, 0.0000, 0.0000)
Er (0.0000, 0.0000, 0.5669)
Er (0.0000, 0.0000, 0.7677)
Se (0.0000, 0.0000, 0.1671)


(4)
Material: Dy2ErSe
Method: DFT, PBE
State: relaxed

Cell: 3.7818 3.7818 28.0550 Å, 90.00 90.00 120.00°
Space group R3m (No. 160, hexagonal axes)
One atom of each set of equivalent atoms:
Dy (0.0000, 0.0000, 0.0000)
Dy (0.0000, 0.0000, 0.2007)
Er (0.0000, 0.0000, 0.7676)
Se (0.0000, 0.0000, 0.6004)


no.,uncorrected formation energy (eV per atom)
1,-1.74
2,-1.71
3,-0.80
4,-0.81